This record from the Alexandria database describes InBr4Cl at its PBEsol-relaxed geometry. The functional is SCAN.

## Properties
DOS(E_F)	23.38	states/eV/cell
crystal system	cubic
raw formation energy	0.2562	eV per atom

a = 8.5349 Å, b = 8.5349 Å, c = 8.5349 Å
α = 90.00°, β = 90.00°, γ = 90.00°
Space group F-43m (No. 216)
Asymmetric unit:
In: 0.0000 0.0000 0.0000 x4
Br: 0.1244 0.1244 0.6244 x16
Cl: 0.2500 0.2500 0.2500 x4

This record from the Alexandria database describes InReBrCl2 at its PBEsol-relaxed geometry. The functional is SCAN.

## Properties
DOS(E_F)	1.06	states/eV/cell
crystal system	tetragonal
raw formation energy	0.8935	eV per atom

a = 6.0212 Å, b = 6.0212 Å, c = 4.5450 Å
α = 90.00°, β = 90.00°, γ = 90.00°
Space group P4/mmm (No. 123)
Asymmetric unit:
In: 0.0000 0.0000 0.0000 x1
Re: 0.5000 0.5000 0.0000 x1
Br: 0.5000 0.5000 0.5000 x1
Cl: 0.0000 0.5000 0.5000 x2

This record from the Alexandria database describes Ir2BrCl at its PBEsol-relaxed geometry. The functional is SCAN.

## Properties
DOS(E_F)	6.81	states/eV/cell
crystal system	monoclinic
raw formation energy	1.2485	eV per atom
energy relative to the lowest polymorph listed for this composition	161.8	meV per atom

a = 8.2986 Å, b = 2.9981 Å, c = 5.1638 Å
α = 90.00°, β = 100.94°, γ = 90.00°
Space group C2/m (No. 12)
Asymmetric unit:
Ir: 0.2445 0.0000 0.2554 x4
Br: 0.0000 0.5000 0.0000 x2
Cl: 0.0000 0.0000 0.5000 x2

This record from the Alexandria database describes Ir3BrCl at its PBEsol-relaxed geometry. The functional is SCAN.

## Properties
DOS(E_F)	6.63	states/eV/cell
crystal system	cubic
raw formation energy	2.2087	eV per atom

a = 4.4596 Å, b = 4.4596 Å, c = 4.4596 Å
α = 90.00°, β = 90.00°, γ = 90.00°
Space group Pm-3m (No. 221)
Asymmetric unit:
Ir: 0.0000 0.0000 0.5000 x3
Br: 0.5000 0.5000 0.5000 x1
Cl: 0.0000 0.0000 0.0000 x1